# NaErPb

A relaxed structure of NaErPb (PBE, the Alexandria database).

## Properties
Its spin magnetization is 0.000 μB per formula unit. As for the final energy: -0.2464 Ry per atom. The volume is 97.03 Å³/cell. Its space group is F-43m.

Lattice parameters (Å, degrees): 5.158 5.158 5.158 60.00 60.00 60.00
Fractional coordinates of all 3 atoms:
Pb  0.250  0.250  0.250
Er  0.000  0.000  0.000
Na  0.500  0.500  0.500

=====

# NaEr2Pb3

A relaxed structure of NaEr2Pb3 (PBE, the Alexandria database).

## Properties
Its spin magnetization is 0.000 μB per formula unit. As for the final energy: -0.2858 Ry per atom. The volume is 170.68 Å³/cell. Its space group is P4/mmm.

Lattice parameters (Å, degrees): 3.916 3.916 11.129 90.00 90.00 90.00
Fractional coordinates of all 6 atoms:
Er  0.500  0.500  0.834
Pb  0.000  0.000  0.000
Na  0.500  0.500  0.500
Pb  0.000  0.000  0.673
Er  0.500  0.500  0.166
Pb  0.000  0.000  0.327

=====

# NaErPb

A relaxed structure of NaErPb (PBE, the Alexandria database).

## Properties
Its spin magnetization is 0.000 μB per formula unit. As for the final energy: -0.2450 Ry per atom. The volume is 83.69 Å³/cell. Its space group is P3m1.

Lattice parameters (Å, degrees): 3.537 5.227 5.227 120.00 90.00 90.00
Fractional coordinates of all 3 atoms:
Pb  0.715  0.667  0.333
Er  0.362  0.333  0.667
Na  0.923  0.000  0.000

=====

# NaErPdPb

A relaxed structure of NaErPdPb (PBE, the Alexandria database).

## Properties
Its spin magnetization is 0.001 μB per formula unit. As for the final energy: -0.2971 Ry per atom. The volume is 92.83 Å³/cell. Its space group is F-43m.

Lattice parameters (Å, degrees): 5.082 5.082 5.082 60.00 60.00 60.00
Fractional coordinates of all 4 atoms:
Pb  0.750  0.750  0.750
Na  0.000  0.000  0.000
Pd  0.250  0.250  0.250
Er  0.500  0.500  0.500

=====

# NaPmErPb

A relaxed structure of NaPmErPb (PBE, the Alexandria database).

## Properties
Its spin magnetization is 0.009 μB per formula unit. As for the final energy: -0.2742 Ry per atom. The volume is 114.16 Å³/cell. Its space group is F-43m.

Lattice parameters (Å, degrees): 5.445 5.445 5.445 60.00 60.00 60.00
Fractional coordinates of all 4 atoms:
Pb  0.000  0.000  0.000
Na  0.500  0.500  0.500
Er  0.750  0.750  0.750
Pm  0.250  0.250  0.250

=====

# NaPrErPb

A relaxed structure of NaPrErPb (PBE, the Alexandria database).

## Properties
Its spin magnetization is 0.012 μB per formula unit. As for the final energy: -0.2757 Ry per atom. The volume is 116.56 Å³/cell. Its space group is F-43m.

Lattice parameters (Å, degrees): 5.483 5.483 5.483 60.00 60.00 60.00
Fractional coordinates of all 4 atoms:
Er  0.250  0.250  0.250
Pb  0.500  0.500  0.500
Pr  0.750  0.750  0.750
Na  0.000  0.000  0.000

=====

# NaErPtPb

A relaxed structure of NaErPtPb (PBE, the Alexandria database).

## Properties
Its spin magnetization is 0.000 μB per formula unit. As for the final energy: -0.3262 Ry per atom. The volume is 84.38 Å³/cell. Its space group is F-43m.

Lattice parameters (Å, degrees): 4.923 4.923 4.923 60.00 60.00 60.00
Fractional coordinates of all 4 atoms:
Na  0.250  0.250  0.250
Pb  0.500  0.500  0.500
Er  0.000  0.000  0.000
Pt  0.750  0.750  0.750

=====

# NaEr2Pb3Se6

A relaxed structure of NaEr2Pb3Se6 (PBE, the Alexandria database).

## Properties
Its spin magnetization is 0.048 μB per formula unit. As for the final energy: -0.3397 Ry per atom. The volume is 337.10 Å³/cell. Its space group is C2/m.

Lattice parameters (Å, degrees): 4.087 9.140 9.557 104.48 102.35 90.00
Fractional coordinates of all 12 atoms:
Se  0.327  0.443  0.655
Se  0.673  0.557  0.345
Se  0.990  0.746  0.980
Er  0.835  0.667  0.670
Se  0.010  0.254  0.020
Se  0.672  0.120  0.344
Pb  0.500  0.500  0.000
Pb  0.160  0.838  0.320
Se  0.328  0.880  0.656
Er  0.165  0.333  0.330
Na  0.500  0.000  0.000
Pb  0.840  0.162  0.680

=====

# NaErPb2Se4

A relaxed structure of NaErPb2Se4 (PBE, the Alexandria database).

## Properties
Its spin magnetization is 0.000 μB per formula unit. As for the final energy: -0.3292 Ry per atom. The volume is 220.26 Å³/cell. Its space group is P2/m.

Lattice parameters (Å, degrees): 4.249 7.361 7.423 108.45 90.00 90.00
Fractional coordinates of all 8 atoms:
Pb  0.500  0.000  0.500
Se  0.000  0.242  0.766
Se  0.000  0.758  0.234
Se  0.500  0.766  0.773
Se  0.500  0.234  0.227
Na  0.500  0.500  0.000
Pb  0.000  0.500  0.500
Er  0.000  0.000  0.000

=====

# NaSrErPb

A relaxed structure of NaSrErPb (PBE, the Alexandria database).

## Properties
Its spin magnetization is 0.000 μB per formula unit. As for the final energy: -0.2187 Ry per atom. The volume is 126.74 Å³/cell. Its space group is F-43m.

Lattice parameters (Å, degrees): 5.638 5.638 5.638 60.00 60.00 60.00
Fractional coordinates of all 4 atoms:
Er  0.500  0.500  0.500
Sr  0.000  0.000  0.000
Pb  0.250  0.250  0.250
Na  0.750  0.750  0.750

=====

# Na4Er3Te8Pb

A relaxed structure of Na4Er3Te8Pb (PBE, the Alexandria database).

## Properties
Its spin magnetization is 0.000 μB per formula unit. As for the final energy: -0.2993 Ry per atom. The volume is 516.57 Å³/cell. Its space group is R-3m.

Lattice parameters (Å, degrees): 8.862 9.160 8.863 118.97 120.00 90.00
Fractional coordinates of all 16 atoms:
Na  0.000  0.000  0.500
Te  0.750  0.267  0.017
Te  0.266  0.267  0.017
Er  0.500  0.500  0.500
Te  0.743  0.730  0.487
Na  0.000  0.000  0.000
Er  0.500  0.500  0.000
Te  0.250  0.733  0.499
Te  0.250  0.733  0.983
Er  0.000  0.500  0.500
Te  0.734  0.733  0.983
Te  0.750  0.267  0.501
Pb  0.000  0.500  0.000
Te  0.257  0.270  0.513
Na  0.500  0.000  0.500
Na  0.500  0.000  0.000

=====

# NaEr2Te6Pb3

A relaxed structure of NaEr2Te6Pb3 (PBE, the Alexandria database).

## Properties
Its spin magnetization is 0.000 μB per formula unit. As for the final energy: -0.3051 Ry per atom. The volume is 397.93 Å³/cell. Its space group is C2/m.

Lattice parameters (Å, degrees): 4.449 9.288 10.185 103.99 102.62 90.00
Fractional coordinates of all 12 atoms:
Te  0.990  0.748  0.981
Na  0.500  0.000  0.000
Te  0.674  0.113  0.347
Pb  0.158  0.846  0.316
Te  0.328  0.423  0.657
Pb  0.842  0.154  0.684
Te  0.672  0.577  0.343
Er  0.167  0.342  0.334
Er  0.833  0.658  0.666
Te  0.010  0.252  0.019
Te  0.326  0.887  0.653
Pb  0.500  0.500  0.000